Density functional theory data (PBE) for a relaxed structure of SrPuMgPb.

Geometry as POSCAR:
```
SrPuMgPb
1.0
5.618 0.000 0.000
2.809 4.865 0.000
2.809 1.622 4.587
Mg Pb Sr Pu
1 1 1 1
Direct
0.000 0.000 0.000
0.500 0.500 0.500
0.750 0.750 0.750
0.250 0.250 0.250
```

Output
Its total energy is -21.682 eV/cell. Its density of states at the Fermi level is 12.11 states/eV/cell. As for the formation energy: -0.365 eV per formula unit.